Entry 1:
Density functional theory data (PBE-GGA) for an optimized crystal structure of U2BeNi12P3.

Cell and atoms, written as CIF:
```
data_U2BeNi12P3
_chemical_formula_sum 'U6 Be3 Ni36 P9'
_cell_length_a 6.3019
_cell_length_b 6.3019
_cell_length_c 21.0230
_cell_angle_alpha 90.00
_cell_angle_beta 90.00
_cell_angle_gamma 120.00
_space_group_name_H-M_alt 'R -3 m'
_space_group_IT_number 166
_space_group_name_Hall '-R 3 2"'
loop_
_atom_site_label
_atom_site_fract_x
_atom_site_fract_y
_atom_site_fract_z
U1 0.0000 0.0000 0.1545
Be1 0.0000 0.0000 0.5000
Ni1 0.0456 0.5228 0.1069
Ni2 0.0670 0.5335 0.6196
P1 0.0000 0.5000 0.0000
```

DOS(E_F) = 53.0 states/eV per cell
Formation energy from the elements = -84 meV/atom
VASP energy = -340.252 eV/cell
V = 13.4 Å³/atom



Entry 2:
Density functional theory data (PBE-GGA) for an optimized crystal structure of RhS2I.

Cell and atoms, written as CIF:
```
data_RhS2I
_chemical_formula_sum 'Rh3 S6 I3'
_cell_length_a 2.9902
_cell_length_b 2.9902
_cell_length_c 37.2543
_cell_angle_alpha 90.00
_cell_angle_beta 90.00
_cell_angle_gamma 120.00
_space_group_name_H-M_alt 'R -3 m'
_space_group_IT_number 166
_space_group_name_Hall '-R 3 2"'
loop_
_atom_site_label
_atom_site_fract_x
_atom_site_fract_y
_atom_site_fract_z
Rh1 0.0000 0.0000 0.0000
S1 0.0000 0.0000 0.0599
I1 0.0000 0.0000 0.5000
```

E_form (uncorrected) = 527 meV per atom
DOS(E_F) = 10.0 states/eV per cell
VASP energy = -45.145 eV/cell
V = 24.0 Å³/atom